1.
# LaTi3Sn, relaxed, DFT PBE
data_LaTi3Sn
_chemical_formula_sum 'La1 Ti3 Sn1'
_cell_length_a 5.1363
_cell_length_b 5.1363
_cell_length_c 5.1363
_cell_angle_alpha 90.00
_cell_angle_beta 90.00
_cell_angle_gamma 90.00
_symmetry_space_group_name_H-M 'P 1'
_symmetry_Int_Tables_number 1
_symmetry_space_group_name_Hall 'P 1'
loop_
_atom_site_label
_atom_site_type_symbol
_atom_site_fract_x
_atom_site_fract_y
_atom_site_fract_z
Ti1 Ti 0.0000 0.5000 0.0000
Ti2 Ti 0.0000 0.0000 0.5000
Ti3 Ti 0.5000 0.0000 0.0000
Sn1 Sn 0.0000 0.0000 0.0000
La1 La 0.5000 0.5000 0.5000
# N(E_F) in states/eV/atom: 1.951
# Excess energy over the best structure of this formula in the dataset in meV per atom: 0
# Total energy in eV per cell: -29.1
# Space-group type: Pm-3m (221)



2.
# La4TiSn8, relaxed, DFT PBE
data_La4TiSn8
_chemical_formula_sum 'La4 Ti1 Sn8'
_cell_length_a 4.5339
_cell_length_b 4.7016
_cell_length_c 17.6017
_cell_angle_alpha 90.00
_cell_angle_beta 90.00
_cell_angle_gamma 90.00
_symmetry_space_group_name_H-M 'P 1'
_symmetry_Int_Tables_number 1
_symmetry_space_group_name_Hall 'P 1'
loop_
_atom_site_label
_atom_site_type_symbol
_atom_site_fract_x
_atom_site_fract_y
_atom_site_fract_z
La1 La 0.0000 0.0000 0.0916
La2 La 0.0000 0.5000 0.6092
La3 La 0.5000 0.5000 0.3944
La4 La 0.5000 0.0000 0.8967
Ti1 Ti 0.0000 0.0000 0.3146
Sn1 Sn 0.0000 0.0000 0.4678
Sn2 Sn 0.0000 0.5000 0.9335
Sn3 Sn 0.5000 0.5000 0.0495
Sn4 Sn 0.5000 0.0000 0.5816
Sn5 Sn 0.0000 0.5000 0.2312
Sn6 Sn 0.0000 0.0000 0.7494
Sn7 Sn 0.5000 0.0000 0.2274
Sn8 Sn 0.5000 0.5000 0.7562
# N(E_F) in states/eV/atom: 0.667
# Total energy in eV per cell: -67.3
# Space-group type: Pmm2 (25)



3.
# La3TlSn, relaxed, DFT PBE
data_La3TlSn
_chemical_formula_sum 'La3 Tl1 Sn1'
_cell_length_a 6.0247
_cell_length_b 6.0247
_cell_length_c 6.0247
_cell_angle_alpha 90.00
_cell_angle_beta 90.00
_cell_angle_gamma 90.00
_symmetry_space_group_name_H-M 'P 1'
_symmetry_Int_Tables_number 1
_symmetry_space_group_name_Hall 'P 1'
loop_
_atom_site_label
_atom_site_type_symbol
_atom_site_fract_x
_atom_site_fract_y
_atom_site_fract_z
Tl1 Tl 0.5000 0.5000 0.5000
Sn1 Sn 0.0000 0.0000 0.0000
La1 La 0.0000 0.5000 0.0000
La2 La 0.0000 0.0000 0.5000
La3 La 0.5000 0.0000 0.0000
# N(E_F) in states/eV/atom: 0.922
# Excess energy over the best structure of this formula in the dataset in meV per atom: 425
# Total energy in eV per cell: -21.1
# Space-group type: Pm-3m (221)



4.
# La2Tl3Sn3, relaxed, DFT PBE
data_La2Tl3Sn3
_chemical_formula_sum 'La2 Tl3 Sn3'
_cell_length_a 4.8401
_cell_length_b 4.7840
_cell_length_c 9.8515
_cell_angle_alpha 90.00
_cell_angle_beta 90.00
_cell_angle_gamma 90.00
_symmetry_space_group_name_H-M 'P 1'
_symmetry_Int_Tables_number 1
_symmetry_space_group_name_Hall 'P 1'
loop_
_atom_site_label
_atom_site_type_symbol
_atom_site_fract_x
_atom_site_fract_y
_atom_site_fract_z
La1 La 0.0000 0.0000 0.7432
La2 La 0.0000 0.0000 0.2568
Tl1 Tl 0.5000 0.5000 0.7494
Tl2 Tl 0.5000 0.5000 0.2506
Tl3 Tl 0.5000 0.0000 0.0000
Sn1 Sn 0.5000 0.0000 0.5000
Sn2 Sn 0.0000 0.5000 0.0000
Sn3 Sn 0.0000 0.5000 0.5000
# N(E_F) in states/eV/atom: 0.634
# Excess energy over the best structure of this formula in the dataset in meV per atom: 8
# Total energy in eV per cell: -32.8
# Space-group type: Pmmm (47)



5.
# La9TlSn2, relaxed, DFT PBE
data_La9TlSn2
_chemical_formula_sum 'La9 Tl1 Sn2'
_cell_length_a 5.0485
_cell_length_b 5.0485
_cell_length_c 15.1175
_cell_angle_alpha 90.00
_cell_angle_beta 90.00
_cell_angle_gamma 90.00
_symmetry_space_group_name_H-M 'P 1'
_symmetry_Int_Tables_number 1
_symmetry_space_group_name_Hall 'P 1'
loop_
_atom_site_label
_atom_site_type_symbol
_atom_site_fract_x
_atom_site_fract_y
_atom_site_fract_z
La1 La 0.5000 0.5000 0.0000
La2 La 0.5000 0.5000 0.3349
La3 La 0.5000 0.5000 0.6651
La4 La 0.5000 0.0000 0.1703
La5 La 0.5000 0.0000 0.5000
La6 La 0.5000 0.0000 0.8297
La7 La 0.0000 0.5000 0.1703
La8 La 0.0000 0.5000 0.5000
La9 La 0.0000 0.5000 0.8297
Tl1 Tl 0.0000 0.0000 0.0000
Sn1 Sn 0.0000 0.0000 0.3335
Sn2 Sn 0.0000 0.0000 0.6665
# N(E_F) in states/eV/atom: 1.405
# Total energy in eV per cell: -59.7
# Space-group type: P4/mmm (123)



6.
# La4Tl3Sn, relaxed, DFT PBE
data_La4Tl3Sn
_chemical_formula_sum 'La4 Tl3 Sn1'
_cell_length_a 5.6417
_cell_length_b 5.6417
_cell_length_c 8.8395
_cell_angle_alpha 108.61
_cell_angle_beta 108.61
_cell_angle_gamma 90.01
_symmetry_space_group_name_H-M 'P 1'
_symmetry_Int_Tables_number 1
_symmetry_space_group_name_Hall 'P 1'
loop_
_atom_site_label
_atom_site_type_symbol
_atom_site_fract_x
_atom_site_fract_y
_atom_site_fract_z
Tl1 Tl 0.0000 0.5000 0.0000
Tl2 Tl 0.7529 0.2529 0.5059
Tl3 Tl 0.2471 0.7471 0.4941
Sn1 Sn 0.5000 0.0000 0.0000
La1 La 0.3758 0.3757 0.7515
La2 La 0.6242 0.6243 0.2485
La3 La 0.1242 0.1243 0.2485
La4 La 0.8758 0.8757 0.7515
# N(E_F) in states/eV/atom: 0.563
# Total energy in eV per cell: -34.9
# Space-group type: I4/mmm (139)



Computed ΔH_f (0 K) (eV/atom) in order:
0.71 -0.59 0.01 -0.47 -0.41 -0.51